No. 1
{
  "formula": "MgIn2Pb2",
  "functional": "PBE",
  "state": "optimized geometry",
  "lattice_angstrom": [[-7.700, 1.534, 0.439], [-0.945, -2.640, -7.347], [-0.768, -4.327, 1.654]],
  "species": ["Pb", "Pb", "Pb", "Pb", "Mg", "Mg", "In", "In", "In", "In"],
  "frac_coords": [[0.170, 0.670, 0.500], [0.670, 0.830, 0.500], [0.830, 0.330, 0.500], [0.330, 0.170, 0.500], [0.000, 0.000, 0.000], [0.500, 0.500, 0.000], [0.363, 0.863, 0.000], [0.863, 0.637, 0.000], [0.637, 0.137, 0.000], [0.137, 0.363, 0.000]],
  "dft_energy_ev_per_atom": -2.83,
  "total_magnetization_mub_per_cell": 0.0,
  "polymorph_energy_mev_per_atom": 0
}



No. 2
{
  "formula": "ThGa4Co2",
  "functional": "PBE",
  "state": "optimized geometry",
  "lattice_angstrom": [[4.341, 0.000, 0.000], [0.000, 7.271, 0.000], [0.000, 0.000, 7.271]],
  "species": ["Th", "Th", "Ga", "Ga", "Ga", "Ga", "Ga", "Ga", "Ga", "Ga", "Co", "Co", "Co", "Co"],
  "frac_coords": [[0.500, 0.000, 0.000], [0.000, 0.500, 0.500], [0.000, 0.078, 0.327], [0.000, 0.922, 0.673], [0.500, 0.173, 0.578], [0.500, 0.827, 0.422], [0.500, 0.422, 0.827], [0.500, 0.578, 0.173], [0.000, 0.327, 0.078], [0.000, 0.673, 0.922], [0.000, 0.246, 0.754], [0.000, 0.754, 0.246], [0.500, 0.746, 0.746], [0.500, 0.254, 0.254]],
  "dft_energy_ev_per_atom": -5.20,
  "total_magnetization_mub_per_cell": 0.0,
  "polymorph_energy_mev_per_atom": 50
}



No. 3
{
  "formula": "TaFeOs2",
  "functional": "PBE",
  "state": "optimized geometry",
  "lattice_angstrom": [[-2.121, 2.174, 2.995], [-0.668, -2.339, 1.224], [3.998, -0.627, 3.286]],
  "species": ["Fe", "Os", "Os", "Ta"],
  "frac_coords": [[0.500, 0.750, 0.750], [0.000, 0.931, 0.975], [0.000, 0.569, 0.525], [0.500, 0.250, 0.250]],
  "dft_energy_ev_per_atom": -10.63,
  "total_magnetization_mub_per_cell": 2.8
}



No. 4
{
  "formula": "Tb2Nd2Ir3",
  "functional": "PBE",
  "state": "optimized geometry",
  "lattice_angstrom": [[4.483, -0.006, 0.004], [-2.237, 5.610, -0.159], [0.001, -0.992, 7.446]],
  "species": ["Tb", "Tb", "Nd", "Nd", "Ir", "Ir", "Ir"],
  "frac_coords": [[0.639, 0.279, 0.936], [0.361, 0.721, 0.064], [0.865, 0.728, 0.644], [0.135, 0.272, 0.356], [0.000, 0.000, 0.000], [0.808, 0.617, 0.263], [0.192, 0.383, 0.737]],
  "dft_energy_ev_per_atom": -7.07,
  "total_magnetization_mub_per_cell": 0.0,
  "polymorph_energy_mev_per_atom": 123
}